Entry from Alexandria via LeMat-Bulk: an optimized crystal structure of Mo2HO (GGA+U).

Crystal system: cubic
Final energy, eV/f.u.: -18.6
Space group: Fm-3m (225)
Density of states at the Fermi level, states/eV per cell: 9.28

a = 5.6119 Å, b = 5.6119 Å, c = 5.6119 Å
α = 90.00°, β = 90.00°, γ = 90.00°
With the nearest neighbours (Å) after each atom.
Element x y z (fractional)
Mo 0.2500 0.2500 0.2500  4 O 2.43, 4 H 2.43
Mo 0.2500 0.2500 0.7500  4 O 2.43, 4 H 2.43
Mo 0.2500 0.7500 0.2500  4 O 2.43, 4 H 2.43
Mo 0.2500 0.7500 0.7500  4 O 2.43, 4 H 2.43
Mo 0.7500 0.2500 0.2500  4 O 2.43, 4 H 2.43
Mo 0.7500 0.2500 0.7500  4 O 2.43, 4 H 2.43
Mo 0.7500 0.7500 0.2500  4 O 2.43, 4 H 2.43
Mo 0.7500 0.7500 0.7500  4 O 2.43, 4 H 2.43
H 0.0000 0.0000 0.0000  8 Mo 2.43
H 0.0000 0.5000 0.5000  8 Mo 2.43
H 0.5000 0.0000 0.5000  8 Mo 2.43
H 0.5000 0.5000 0.0000  8 Mo 2.43
O 0.0000 0.0000 0.5000  8 Mo 2.43
O 0.0000 0.5000 0.0000  8 Mo 2.43
O 0.5000 0.0000 0.0000  8 Mo 2.43
O 0.5000 0.5000 0.5000  8 Mo 2.43